Record 1
A plane-wave DFT calculation with PBE was carried out for a geometry-optimized Cs4RbI5 structure.

```
data_Cs4RbI5
_chemical_formula_sum 'Cs8 Rb2 I10'
_symmetry_space_group_name_H-M 'I 4/m m m'
_symmetry_Int_Tables_number 139
_symmetry_space_group_name_Hall '-I 4 2'
_cell_length_a 5.496
_cell_length_b 5.496
_cell_length_c 38.793
_cell_angle_alpha 90.00
_cell_angle_beta 90.00
_cell_angle_gamma 90.00
loop_
_atom_site_label
_atom_site_fract_x
_atom_site_fract_y
_atom_site_fract_z
Cs1 0.000 0.000 0.099
Cs2 0.000 0.000 0.301
Rb1 0.000 0.000 0.500
I1 0.000 0.000 0.000
I2 0.000 0.000 0.200
I3 0.000 0.000 0.403
```

Values from the calculation:
The calculation puts the calculated volume at 1171.71 Å³ per cell. The crystal system is tetragonal. The calculation puts the total energy at -55.02 eV for the cell shown. For the density of states at the Fermi level, the calculation gives 0.0000 states/eV/atom. The uncorrected formation energy is -1.5376 eV/atom.


Record 2
A plane-wave DFT calculation with PBE was carried out for a geometry-optimized CaPPt structure.

```
data_CaPPt
_chemical_formula_sum 'Ca2 P2 Pt2'
_symmetry_space_group_name_H-M 'I 4 m m'
_symmetry_Int_Tables_number 107
_symmetry_space_group_name_Hall 'I 4 -2'
_cell_length_a 3.428
_cell_length_b 3.428
_cell_length_c 10.083
_cell_angle_alpha 90.00
_cell_angle_beta 90.00
_cell_angle_gamma 90.00
loop_
_atom_site_label
_atom_site_fract_x
_atom_site_fract_y
_atom_site_fract_z
Ca1 0.000 0.000 0.000
P1 0.000 0.000 0.283
Pt1 0.000 0.000 0.715
```

Values from the calculation:
The calculation puts the calculated volume at 118.50 Å³ per cell. The crystal system is tetragonal. The calculation puts the total energy at -30.55 eV for the cell shown. For the density of states at the Fermi level, the calculation gives 0.5283 states/eV/atom. The energy of formation comes out at -608 meV/atom.


Record 3
A plane-wave DFT calculation with PBE was carried out for a geometry-optimized Tb4AlInO structure.

```
data_Tb4AlInO
_chemical_formula_sum 'Tb16 Al4 In4 O4'
_symmetry_space_group_name_H-M 'C m c m'
_symmetry_Int_Tables_number 63
_symmetry_space_group_name_Hall '-C 2c 2'
_cell_length_a 6.558
_cell_length_b 16.309
_cell_length_c 6.564
_cell_angle_alpha 90.00
_cell_angle_beta 90.00
_cell_angle_gamma 90.00
loop_
_atom_site_label
_atom_site_fract_x
_atom_site_fract_y
_atom_site_fract_z
Tb1 0.000 0.073 0.250
Tb2 0.000 0.418 0.250
Tb3 0.250 0.250 0.000
Al1 0.000 0.116 0.750
In1 0.000 0.390 0.750
O1 0.000 0.259 0.250
```

Values from the calculation:
The calculation puts the calculated volume at 702.04 Å³ per cell. The crystal system is orthorhombic. The calculation puts the total energy at -149.12 eV for the cell shown. For the density of states at the Fermi level, the calculation gives 0.3381 states/eV/atom. The uncorrected formation energy is -1.0458 eV/atom.


Record 4
A plane-wave DFT calculation with PBE was carried out for a geometry-optimized Ho19Er4Sc6 structure.

```
data_Ho19Er4Sc6
_chemical_formula_sum 'Ho38 Er8 Sc12'
_symmetry_space_group_name_H-M 'I 2 3'
_symmetry_Int_Tables_number 197
_symmetry_space_group_name_Hall 'I 2 2 3'
_cell_length_a 12.197
_cell_length_b 12.197
_cell_length_c 12.197
_cell_angle_alpha 90.00
_cell_angle_beta 90.00
_cell_angle_gamma 90.00
loop_
_atom_site_label
_atom_site_fract_x
_atom_site_fract_y
_atom_site_fract_z
Ho1 0.000 0.000 0.000
Ho2 0.000 0.000 0.265
Ho3 0.059 0.281 0.727
Er1 0.178 0.178 0.178
Sc1 0.000 0.118 0.500
```

Values from the calculation:
The calculation puts the calculated volume at 1814.73 Å³ per cell. The crystal system is cubic. The calculation puts the total energy at -263.44 eV for the cell shown. For the density of states at the Fermi level, the calculation gives 1.4241 states/eV/atom. The energy of formation comes out at 396 meV/atom.


Record 5
A plane-wave DFT calculation with PBE was carried out for a geometry-optimized Na3Pu2MnN6 structure.

```
data_Na3Pu2MnN6
_chemical_formula_sum 'Na6 Pu4 Mn2 N12'
_symmetry_space_group_name_H-M 'C 1 2/m 1'
_symmetry_Int_Tables_number 12
_cell_length_a 5.682
_cell_length_b 9.874
_cell_length_c 5.934
_cell_angle_alpha 90.00
_cell_angle_beta 108.26
_cell_angle_gamma 90.00
loop_
_symmetry_equiv_pos_as_xyz
'x,y,z'
'-x,-y,-z'
'-x,y,-z'
'x,-y,z'
'x+1/2,y+1/2,z'
'-x+1/2,-y+1/2,-z'
'-x+1/2,y+1/2,-z'
'x+1/2,-y+1/2,z'
loop_
_atom_site_label
_atom_site_fract_x
_atom_site_fract_y
_atom_site_fract_z
Na1 0.000 0.000 0.000
Na2 0.000 0.341 0.000
Pu1 0.000 0.167 0.500
Mn1 0.000 0.500 0.500
N1 0.224 0.338 0.685
N2 0.237 0.000 0.685
```

Values from the calculation:
The calculation puts the calculated volume at 316.21 Å³ per cell. The crystal system is monoclinic. The calculation puts the total energy at -196.47 eV for the cell shown. For the density of states at the Fermi level, the calculation gives 1.0777 states/eV/atom. The uncorrected formation energy is -0.5411 eV/atom.


Record 6
A plane-wave DFT calculation with PBE was carried out for a geometry-optimized UNiSnOs structure.

```
data_UNiSnOs
_chemical_formula_sum 'U4 Ni4 Sn4 Os4'
_symmetry_space_group_name_H-M 'F -4 3 m'
_symmetry_Int_Tables_number 216
_symmetry_space_group_name_Hall 'F -4 2 3'
_cell_length_a 6.617
_cell_length_b 6.617
_cell_length_c 6.617
_cell_angle_alpha 90.00
_cell_angle_beta 90.00
_cell_angle_gamma 90.00
loop_
_atom_site_label
_atom_site_fract_x
_atom_site_fract_y
_atom_site_fract_z
U1 0.000 0.000 0.000
Ni1 0.250 0.250 0.750
Sn1 0.000 0.000 0.500
Os1 0.250 0.250 0.250
```

Values from the calculation:
The calculation puts the calculated volume at 289.71 Å³ per cell. The crystal system is cubic. The calculation puts the total energy at -129.22 eV for the cell shown. For the density of states at the Fermi level, the calculation gives 1.7012 states/eV/atom. The energy of formation comes out at 0 meV/atom.